No. 1
# meta-GGA SCAN CuAs2Rh, PBEsol geometry
data_CuAs2Rh
_chemical_formula_sum 'Cu1 As2 Rh1'
_cell_length_a 3.1422
_cell_length_b 3.1347
_cell_length_c 5.9910
_cell_angle_alpha 90.00
_cell_angle_beta 90.07
_cell_angle_gamma 90.00
_space_group_name_H-M_alt 'P 1 2/m 1'
_space_group_IT_number 10
loop_
_space_group_symop_operation_xyz
'x,y,z'
'-x,-y,-z'
'-x,y,-z'
'x,-y,z'
loop_
_atom_site_label
_atom_site_type_symbol
_atom_site_fract_x
_atom_site_fract_y
_atom_site_fract_z
Cu1 Cu 0.0000 0.0000 0.0000
As1 As 0.4992 0.5000 0.2568
Rh1 Rh 0.0000 0.0000 0.5000
# - energy relative to the lowest polymorph listed for this composition (meV/atom) = 72
# - energy of formation from the pure elements (eV/atom) = -0.031
# - Fermi-level density of states (states/eV per atom) = 0.42


No. 2
# meta-GGA SCAN CuAsRhW2, PBEsol geometry
data_CuAsRhW2
_chemical_formula_sum 'Cu1 As1 Rh1 W2'
_cell_length_a 4.5489
_cell_length_b 4.5489
_cell_length_c 4.4168
_cell_angle_alpha 90.00
_cell_angle_beta 90.00
_cell_angle_gamma 90.00
_space_group_name_H-M_alt 'P 4/m m m'
_space_group_IT_number 123
_space_group_name_Hall '-P 4 2'
loop_
_atom_site_label
_atom_site_type_symbol
_atom_site_fract_x
_atom_site_fract_y
_atom_site_fract_z
Cu1 Cu 0.0000 0.0000 0.0000
As1 As 0.5000 0.5000 0.5000
Rh1 Rh 0.5000 0.5000 0.0000
W1 W 0.0000 0.5000 0.5000
# - energy of formation from the pure elements (eV/atom) = 1.540
# - Fermi-level density of states (states/eV per atom) = 0.87


No. 3
# meta-GGA SCAN CuAsRu, PBEsol geometry
data_CuAsRu
_chemical_formula_sum 'Cu4 As4 Ru4'
_cell_length_a 5.6971
_cell_length_b 5.6971
_cell_length_c 5.6971
_cell_angle_alpha 90.00
_cell_angle_beta 90.00
_cell_angle_gamma 90.00
_space_group_name_H-M_alt 'F -4 3 m'
_space_group_IT_number 216
_space_group_name_Hall 'F -4 2 3'
loop_
_atom_site_label
_atom_site_type_symbol
_atom_site_fract_x
_atom_site_fract_y
_atom_site_fract_z
Cu1 Cu 0.0000 0.0000 0.0000
As1 As 0.0000 0.0000 0.5000
Ru1 Ru 0.2500 0.2500 0.7500
# - energy of formation from the pure elements (eV/atom) = 0.073
# - Fermi-level density of states (states/eV per atom) = 0.55


No. 4
# meta-GGA SCAN Cu3AsS4, PBEsol geometry
data_Cu3AsS4
_chemical_formula_sum 'Cu3 As1 S4'
_cell_length_a 5.2241
_cell_length_b 5.2241
_cell_length_c 5.2241
_cell_angle_alpha 90.00
_cell_angle_beta 90.00
_cell_angle_gamma 90.00
_space_group_name_H-M_alt 'P -4 3 m'
_space_group_IT_number 215
_space_group_name_Hall 'P -4 2 3'
loop_
_atom_site_label
_atom_site_type_symbol
_atom_site_fract_x
_atom_site_fract_y
_atom_site_fract_z
Cu1 Cu 0.0000 0.0000 0.5000
As1 As 0.5000 0.5000 0.5000
S1 S 0.2438 0.2438 0.7562
# - E_form (uncorrected) (eV/f.u.) = -2.1
# - Fermi-level density of states (states/eV per atom) = 0.27


No. 5
# meta-GGA SCAN CuAsS, PBEsol geometry
data_CuAsS
_chemical_formula_sum 'Cu4 As4 S4'
_cell_length_a 11.2540
_cell_length_b 3.7525
_cell_length_c 5.3592
_cell_angle_alpha 90.00
_cell_angle_beta 90.00
_cell_angle_gamma 90.00
_space_group_name_H-M_alt 'P n m a'
_space_group_IT_number 62
loop_
_space_group_symop_operation_xyz
'x,y,z'
'-x,-y,-z'
'-x+1/2,-y,z+1/2'
'x+1/2,y,-z+1/2'
'x+1/2,-y+1/2,-z+1/2'
'-x+1/2,y+1/2,z+1/2'
'-x,y+1/2,-z'
'x,-y+1/2,z'
loop_
_atom_site_label
_atom_site_type_symbol
_atom_site_fract_x
_atom_site_fract_y
_atom_site_fract_z
Cu1 Cu 0.1754 0.2500 0.0634
As1 As 0.0148 0.2500 0.3474
S1 S 0.1696 0.7500 0.8291
# - E_form (uncorrected) (eV/f.u.) = -0.7
# - Fermi-level density of states (states/eV per atom) = 0.03


No. 6
# meta-GGA SCAN Cu12Sb3AsS16, PBEsol geometry
data_Cu12Sb3AsS16
_chemical_formula_sum 'Cu24 Sb6 As2 S32'
_cell_length_a 15.0080
_cell_length_b 7.5026
_cell_length_c 10.5813
_cell_angle_alpha 90.00
_cell_angle_beta 90.00
_cell_angle_gamma 90.00
_space_group_name_H-M_alt 'A m m 2'
_space_group_IT_number 38
loop_
_space_group_symop_operation_xyz
'x,y,z'
'-x,-y,z'
'-x,y,z'
'x,-y,z'
'x,y+1/2,z+1/2'
'-x,-y+1/2,z+1/2'
'-x,y+1/2,z+1/2'
'x,-y+1/2,z+1/2'
loop_
_atom_site_label
_atom_site_type_symbol
_atom_site_fract_x
_atom_site_fract_y
_atom_site_fract_z
Cu1 Cu 0.0000 0.0000 0.0000
Cu2 Cu 0.1213 0.2479 0.7512
Cu3 Cu 0.2441 0.0000 0.5017
Cu4 Cu 0.3740 0.2484 0.7510
Cu5 Cu 0.5000 0.0000 0.0009
Sb1 Sb 0.2495 0.0000 0.0009
Sb2 Sb 0.5000 0.0000 0.5009
As1 As 0.0000 0.0000 0.5018
S1 S 0.0000 0.2456 0.8764
S2 S 0.1167 0.0000 0.1349
S3 S 0.1240 0.0000 0.6308
S4 S 0.2478 0.2342 0.3664
S5 S 0.3640 0.0000 0.6323
S6 S 0.3830 0.0000 0.1347
S7 S 0.5000 0.2330 0.8660
# - E_form (uncorrected) (eV/f.u.) = -8.9
# - Fermi-level density of states (states/eV per atom) = 0.21